Entry 1:
Compound: SnHg6P4Cl6
Source: the Alexandria database
Functional: meta-GGA SCAN
Structure: single point on PBEsol structure

a = 11.8650 Å, b = 11.8650 Å, c = 11.8650 Å
α = 90.00°, β = 90.00°, γ = 90.00°
Space group P2_13 (No. 198)
Asymmetric unit:
Sn1 0.2227 0.2227 0.2227 (multiplicity 4)
Hg1 0.0152 0.2394 0.5280 (multiplicity 12)
Hg2 0.0224 0.7372 0.4649 (multiplicity 12)
P1 0.0419 0.0419 0.0419 (multiplicity 4)
P2 0.0429 0.5429 0.9571 (multiplicity 4)
P3 0.0629 0.9371 0.4371 (multiplicity 4)
P4 0.0646 0.4354 0.5646 (multiplicity 4)
Cl1 0.0264 0.7360 0.2027 (multiplicity 12)
Cl2 0.0583 0.7427 0.7079 (multiplicity 12)

Properties
The volume is 24.56 Å³/atom. The calculation puts the uncorrected formation energy at -530 meV/atom.

Entry 2:
Compound: NaNbNi2Cl
Source: the Alexandria database
Functional: meta-GGA SCAN
Structure: single point on PBEsol structure

a = 4.3556 Å, b = 4.3556 Å, c = 4.4469 Å
α = 90.00°, β = 90.00°, γ = 90.00°
Space group P4/mmm (No. 123)
Asymmetric unit:
Na1 0.0000 0.0000 0.0000 (multiplicity 1)
Nb1 0.5000 0.5000 0.5000 (multiplicity 1)
Ni1 0.0000 0.5000 0.0000 (multiplicity 2)
Cl1 0.0000 0.0000 0.5000 (multiplicity 1)

Properties
The volume is 16.87 Å³/atom. The calculation puts the uncorrected formation energy at 1364 meV/atom.

Entry 3:
Compound: YMn3Tc
Source: the Alexandria database
Functional: meta-GGA SCAN
Structure: single point on PBEsol structure

a = 4.5771 Å, b = 4.5771 Å, c = 4.5771 Å
α = 90.00°, β = 90.00°, γ = 90.00°
Space group Pm-3m (No. 221)
Asymmetric unit:
Y1 0.0000 0.0000 0.0000 (multiplicity 1)
Mn1 0.0000 0.0000 0.5000 (multiplicity 3)
Tc1 0.5000 0.5000 0.5000 (multiplicity 1)

Properties
The volume is 19.18 Å³/atom. The calculated formation energy comes out at 1.8600 eV per atom. The calculation puts the energy above the most stable polymorph in this dataset at 1383.7 meV per atom.

Entry 4:
Compound: MnMo2IrCl
Source: the Alexandria database
Functional: meta-GGA SCAN
Structure: single point on PBEsol structure

a = 4.3203 Å, b = 4.3203 Å, c = 4.3570 Å
α = 90.00°, β = 90.00°, γ = 90.00°
Space group P4/mmm (No. 123)
Asymmetric unit:
Mn1 0.0000 0.0000 0.0000 (multiplicity 1)
Mo1 0.0000 0.5000 0.5000 (multiplicity 2)
Ir1 0.5000 0.5000 0.0000 (multiplicity 1)
Cl1 0.5000 0.5000 0.5000 (multiplicity 1)

Properties
The volume is 16.26 Å³/atom. The calculation puts the uncorrected formation energy at 1054 meV/atom.

Q: Among the records above, which one has the lowest volume?
A: MnMo2IrCl

Q: Which formula does entry 4 have?
A: MnMo2IrCl